# Cr4CdCuO8 | Alexandria via LeMat-Bulk | GGA-PBEsol | optimized geometry
# uncorrected formation energy	-2201	kJ/mol of formula units
# energy	-111.3	eV per cell
# crystal system	cubic
# DOS(E_F)	11.41	states/eV per cell
data_Cr4CdCuO8
_chemical_formula_sum 'Cr4 Cd1 Cu1 O8'
_space_group_name_H-M_alt 'P 1'
_space_group_IT_number 1
_space_group_name_Hall 'P 1'
_cell_length_a 5.9565
_cell_length_b 5.9565
_cell_length_c 5.9565
_cell_angle_alpha 60.00
_cell_angle_beta 60.00
_cell_angle_gamma 60.00
loop_
_atom_site_label
_atom_site_type_symbol
_atom_site_fract_x
_atom_site_fract_y
_atom_site_fract_z
_atom_site_occupancy
Cr1 Cr 0.3762 0.3762 0.3762 1
Cr2 Cr 0.3762 0.3762 0.8714 1
Cr3 Cr 0.3762 0.8714 0.3762 1
Cr4 Cr 0.8714 0.3762 0.3762 1
Cd1 Cd 0.0000 0.0000 0.0000 1
Cu1 Cu 0.7500 0.7500 0.7500 1
O1 O 0.1445 0.1445 0.1445 1
O2 O 0.1445 0.1445 0.5665 1
O3 O 0.1445 0.5665 0.1445 1
O4 O 0.1674 0.6109 0.6109 1
O5 O 0.5665 0.1445 0.1445 1
O6 O 0.6109 0.1674 0.6109 1
O7 O 0.6109 0.6109 0.1674 1
O8 O 0.6109 0.6109 0.6109 1

# LaCoIrS2 | Alexandria via LeMat-Bulk | GGA-PBEsol | optimized geometry
# uncorrected formation energy	209	kJ/mol of formula units
# energy	-29.5	eV per cell
# crystal system	tetragonal
# DOS(E_F)	8.49	states/eV per cell
data_LaCoIrS2
_chemical_formula_sum 'La1 Co1 Ir1 S2'
_space_group_name_H-M_alt 'P 1'
_space_group_IT_number 1
_space_group_name_Hall 'P 1'
_cell_length_a 4.5957
_cell_length_b 4.5957
_cell_length_c 5.3105
_cell_angle_alpha 90.00
_cell_angle_beta 90.00
_cell_angle_gamma 90.00
loop_
_atom_site_label
_atom_site_type_symbol
_atom_site_fract_x
_atom_site_fract_y
_atom_site_fract_z
_atom_site_occupancy
La1 La 0.0000 0.0000 0.0000 1
Co1 Co 0.5000 0.5000 0.0000 1
Ir1 Ir 0.0000 0.0000 0.5000 1
S1 S 0.0000 0.5000 0.5000 1
S2 S 0.5000 0.0000 0.5000 1

# GaSnP2S | Alexandria via LeMat-Bulk | GGA-PBEsol | optimized geometry
# uncorrected formation energy	399	kJ/mol of formula units
# energy	-19.4	eV per cell
# crystal system	tetragonal
# DOS(E_F)	4.71	states/eV per cell
data_GaSnP2S
_chemical_formula_sum 'Ga1 Sn1 P2 S1'
_space_group_name_H-M_alt 'P 1'
_space_group_IT_number 1
_space_group_name_Hall 'P 1'
_cell_length_a 4.9928
_cell_length_b 4.9928
_cell_length_c 5.0014
_cell_angle_alpha 90.00
_cell_angle_beta 90.00
_cell_angle_gamma 90.00
loop_
_atom_site_label
_atom_site_type_symbol
_atom_site_fract_x
_atom_site_fract_y
_atom_site_fract_z
_atom_site_occupancy
Ga1 Ga 0.0000 0.0000 0.0000 1
Sn1 Sn 0.5000 0.5000 0.5000 1
P1 P 0.0000 0.5000 0.5000 1
P2 P 0.5000 0.0000 0.5000 1
S1 S 0.5000 0.5000 0.0000 1

# MgMoPb2 | Alexandria via LeMat-Bulk | GGA-PBEsol | optimized geometry
# energy	-19.1	eV per cell
# crystal system	cubic
# ΔE_f	57.8	kJ per mole of atoms
# DOS(E_F)	4.57	states/eV per cell
data_MgMoPb2
_chemical_formula_sum 'Mg1 Mo1 Pb2'
_space_group_name_H-M_alt 'P 1'
_space_group_IT_number 1
_space_group_name_Hall 'P 1'
_cell_length_a 4.9235
_cell_length_b 4.9235
_cell_length_c 4.9235
_cell_angle_alpha 60.00
_cell_angle_beta 60.00
_cell_angle_gamma 60.00
loop_
_atom_site_label
_atom_site_type_symbol
_atom_site_fract_x
_atom_site_fract_y
_atom_site_fract_z
_atom_site_occupancy
Mg1 Mg 0.0000 0.0000 0.0000 1
Mo1 Mo 0.5000 0.5000 0.5000 1
Pb1 Pb 0.2500 0.2500 0.2500 1
Pb2 Pb 0.7500 0.7500 0.7500 1